Entry 1:
# ZrSbHPd2

An optimized crystal structure of ZrSbHPd2 (PBE, Alexandria).

VASP energy	-5.801	eV per atom

Cell lengths 4.1100, 4.1100, 4.5290 Å; angles 90.00, 90.00, 90.00 degrees
Closest atoms and distances in Å follow each position.
Fractional positions:
Sb1 0.5000 0.5000 0.5000  4 Zr 2.91, 8 Pd 3.06
Zr1 0.0000 0.0000 0.5000  2 H 2.26
Pd1 0.0000 0.5000 0.0000  2 H 2.06
Pd2 0.5000 0.0000 0.0000  2 H 2.06
H1 0.0000 0.0000 0.0000  4 Pd 2.06, 2 Zr 2.26


Entry 2:
# ZrCoH3

An optimized crystal structure of ZrCoH3 (PBE, Alexandria).

VASP energy	-5.557	eV per atom

Cell lengths 3.5283, 4.3125, 5.4838 Å; angles 90.00, 108.68, 90.00 degrees
Closest atoms and distances in Å follow each position.
Fractional positions:
H1 0.6869 0.9957 0.3736  1 Co 1.61
H2 0.3131 0.0043 0.6264  1 Co 1.61
H3 0.3131 0.4957 0.6264  1 Co 1.61
H4 0.6869 0.5043 0.3736  1 Co 1.61
H5 0.0742 0.2500 0.1482  2 Co 1.76
H6 0.9258 0.7500 0.8518  2 Co 1.76
Co1 0.5729 0.2500 0.1459  4 H 1.61-1.76
Co2 0.4271 0.7500 0.8541  4 H 1.61-1.76
Zr1 0.8656 0.2500 0.7317  9 H 2.13-2.24
Zr2 0.1344 0.7500 0.2683  9 H 2.13-2.24


Entry 3:
# CdGaBi3

An optimized crystal structure of CdGaBi3 (PBE, Alexandria).

energy above the lowest structure with this stoichiometry	108.7	meV/atom
calculated formation energy	0.62	eV per atom

Cell lengths 5.7153, 5.7153, 5.7153 Å; angles 90.00, 90.00, 90.00 degrees
Closest atoms and distances in Å follow each position.
Fractional positions:
Bi1 0.0000 0.5000 0.0000  2 Cd 2.86
Bi2 0.0000 0.0000 0.5000  2 Cd 2.86
Bi3 0.5000 0.0000 0.0000  2 Cd 2.86
Ga1 0.5000 0.5000 0.5000  12 Bi 4.04
Cd1 0.0000 0.0000 0.0000  6 Bi 2.86


Entry 4:
# LiTiN2

An optimized crystal structure of LiTiN2 (PBE, Alexandria).

energy above the lowest structure with this stoichiometry	0.0	meV/atom
formation energy (no corrections)	-0.79	eV/atom

Cell lengths 3.0167, 3.0167, 5.3373 Å; angles 73.58, 73.58, 60.00 degrees
Closest atoms and distances in Å follow each position.
Fractional positions:
Li1 0.4924 0.4924 0.5228  6 N 2.16-2.36
Ti1 0.6694 0.6694 0.9918  6 N 2.05-2.06
N1 0.0744 0.0744 0.7768  3 Ti 2.05, 3 Li 2.16
N2 0.2638 0.2638 0.2086  3 Ti 2.06


Entry 5:
# PmInCu10

An optimized crystal structure of PmInCu10 (PBE, Alexandria).

calculated formation energy	-0.06	eV per atom

Cell lengths 4.1163, 5.0037, 8.6936 Å; angles 90.00, 90.00, 90.00 degrees
Closest atoms and distances in Å follow each position.
Fractional positions:
Pm1 0.0000 0.0000 0.0000  18 Cu 2.95-3.24
In1 0.0000 0.5000 0.5000  6 Cu 2.78-2.85
Cu1 0.0000 0.0000 0.3433  7 Cu 2.47-2.72
Cu2 0.0000 0.5000 0.8199  6 Cu 2.49-2.59, 1 In 2.78
Cu3 0.0000 0.5000 0.1801  6 Cu 2.49-2.59, 1 In 2.78
Cu4 0.0000 0.0000 0.6567  7 Cu 2.47-2.72
Cu5 0.5000 0.0000 0.5000  8 Cu 2.47-2.50
Cu6 0.5000 0.5000 0.0000  8 Cu 2.51-2.59
Cu7 0.5000 0.2479 0.2501  8 Cu 2.48-2.54
Cu8 0.5000 0.7521 0.7499  8 Cu 2.48-2.54
Cu9 0.5000 0.7521 0.2501  8 Cu 2.48-2.54
Cu10 0.5000 0.2479 0.7499  8 Cu 2.48-2.54


Entry 6:
# Sr2LiN

An optimized crystal structure of Sr2LiN (PBE, Alexandria).

formation energy (no corrections)	-0.14	eV/atom

Cell lengths 7.6223, 7.6223, 7.1139 Å; angles 57.61, 57.61, 90.00 degrees
Closest atoms and distances in Å follow each position.
Fractional positions:
Sr1 0.7455 0.1250 0.2500  2 N 2.44
Sr2 0.0045 0.6250 0.2500  2 N 2.44
Sr3 0.3750 0.2545 0.7500  2 N 2.44
Sr4 0.8750 0.9955 0.7500  2 N 2.44
Li1 0.5000 0.5000 0.0000  4 Sr 3.60
Li2 0.2500 0.7500 0.5000  4 Sr 3.60
N1 0.0000 0.0000 0.0000  4 Sr 2.44
N2 0.7500 0.2500 0.5000  4 Sr 2.44


Entry 7:
# LiTaPb2

An optimized crystal structure of LiTaPb2 (PBE, Alexandria).

calculated formation energy	0.19	eV per atom

Cell lengths 3.1730, 3.1730, 8.9411 Å; angles 90.00, 90.00, 90.00 degrees
Closest atoms and distances in Å follow each position.
Fractional positions:
Li1 0.5000 0.5000 0.7500  4 Li 3.17, 8 Pb 3.17
Pb1 0.0000 0.0000 0.0012  4 Ta 3.16, 4 Pb 3.17, 4 Li 3.17
Pb2 0.0000 0.0000 0.4988  4 Ta 3.16, 4 Pb 3.17, 4 Li 3.17
Ta1 0.5000 0.5000 0.2500  8 Pb 3.16, 4 Ta 3.17


Entry 8:
# PmTmCu

An optimized crystal structure of PmTmCu (PBE, Alexandria).

energy above the lowest structure with this stoichiometry	15.8	meV/atom
calculated formation energy	-0.12	eV per atom

Cell lengths 3.4905, 3.4905, 6.6858 Å; angles 105.13, 105.13, 90.00 degrees
Closest atoms and distances in Å follow each position.
Fractional positions:
Tm1 0.0331 0.0331 0.0662  4 Cu 2.90
Cu1 0.6554 0.6554 0.3107  4 Tm 2.90, 4 Pm 3.14
Pm1 0.3116 0.3116 0.6231  4 Cu 3.14, 1 Tm 3.46, 4 Pm 3.49


What total magnetization values result from the calculations? In sequence: 0.000, 0.544, 0.000, 0.001, 0.000, 0.000, 0.000, 0.000 μB/f.u..
What density values result from the calculations? In sequence: 9.264, 6.436, 7.197, 3.459, 8.302, 2.415, 11.110, 8.280 g/cm³.